MnVSCl2, optimized geometry, DFT PBE; energy relative to the lowest polymorph listed for this composition = 0.0 meV/atom; Fermi-level density of states = 3.4 states/eV/f.u.; formation energy from raw total energies = -0.271 eV/atom
1.0
4.782 0.000 0.000
0.000 4.782 0.000
0.000 0.000 4.747
Mn V S Cl
1 1 1 2
direct
0.000 0.000 0.000
0.500 0.500 0.500
0.500 0.500 0.000
0.000 0.500 0.500
0.500 0.000 0.500